Entry 1:
HfInCoRe (PBE, optimized geometry); calculated density = 13.5 Mg/m³; calculated volume = 66 Å³ per cell; total magnetic moment = 0.74 μB/cell; energy above the most stable polymorph in this dataset = 0 meV/atom
1.0
0.661 -2.221 3.908
-2.801 -3.370 1.200
1.467 -4.300 -0.050
Co In Hf Re
1 1 1 1
direct
0.750 0.750 0.750
0.000 0.000 0.000
0.500 0.500 0.500
0.250 0.250 0.250

Entry 2:
CsBeSnAu (PBE, optimized geometry); calculated density = 7.3 Mg/m³; calculated volume = 104 Å³ per cell; energy above the most stable polymorph in this dataset = 121 meV/atom
1.0
0.588 -3.096 4.227
-2.773 -4.466 0.404
2.424 -4.659 -0.462
Sn Be Au Cs
1 1 1 1
direct
0.000 0.000 0.000
0.500 0.500 0.500
0.750 0.750 0.750
0.250 0.250 0.250

Entry 3:
Na2Mg2InGaPt2 (PBE, optimized geometry); calculated density = 7.7 Mg/m³; final energy = -3.36 eV per atom; calculated volume = 144 Å³ per cell; total magnetic moment = 0.01 μB/cell
1.0
4.650 0.000 0.000
0.000 4.650 0.000
0.000 0.000 6.659
Na Mg In Pt Ga
2 2 1 2 1
direct
0.000 0.500 0.762
0.500 0.000 0.238
0.000 0.000 0.500
0.500 0.500 0.000
0.500 0.500 0.500
0.000 0.500 0.238
0.500 0.000 0.762
0.000 0.000 0.000

Entry 4:
Ni15Sn (PBE, optimized geometry); calculated density = 6.5 Mg/m³; calculated volume = 508 Å³ per cell; total magnetic moment = 16.01 μB/cell; energy above the most stable polymorph in this dataset = 0 meV/atom
1.0
3.651 0.000 0.000
0.000 3.651 0.000
0.000 0.000 38.111
Ni Sn
30 2
direct
0.000 0.000 0.351
0.500 0.000 0.479
0.000 0.000 0.267
0.500 0.500 0.521
0.500 0.000 0.224
0.000 0.500 0.224
0.000 0.000 0.436
0.000 0.000 0.606
0.000 0.500 0.394
0.000 0.500 0.822
0.000 0.500 0.734
0.000 0.500 0.563
0.000 0.000 0.521
0.500 0.500 0.777
0.500 0.500 0.436
0.000 0.500 0.648
0.500 0.500 0.266
0.500 0.500 0.606
0.500 0.000 0.309
0.000 0.000 0.691
0.500 0.000 0.648
0.000 0.000 0.777
0.500 0.000 0.394
0.000 0.500 0.479
0.500 0.500 0.179
0.000 0.500 0.309
0.500 0.500 0.691
0.500 0.000 0.563
0.500 0.000 0.734
0.500 0.500 0.352
0.500 0.000 0.831
0.000 0.000 0.170

Entry 5:
NbZnNiAs (PBE, optimized geometry); calculated density = 8.2 Mg/m³; final energy = -5.38 eV per atom; calculated volume = 59 Å³ per cell; total magnetic moment = 0.30 μB/cell
1.0
0.000 3.090 3.090
3.090 0.000 3.090
3.090 3.090 0.000
As Nb Ni Zn
1 1 1 1
direct
0.000 0.000 0.000
0.250 0.250 0.250
0.750 0.750 0.750
0.500 0.500 0.500

Entry 6:
InCoTcIr (PBE, optimized geometry); calculated density = 12.4 Mg/m³; calculated volume = 62 Å³ per cell; total magnetic moment = 3.96 μB/cell; energy above the most stable polymorph in this dataset = 0 meV/atom
1.0
0.000 3.141 3.141
3.141 0.000 3.141
3.141 3.141 0.000
In Co Ir Tc
1 1 1 1
direct
0.000 0.000 0.000
0.750 0.750 0.750
0.250 0.250 0.250
0.500 0.500 0.500

What is the formula in the first record? HfInCoRe